(1)
Computed, not measured: an optimized crystal structure of TbSmIn2Pd4 at the PBE-GGA level of DFT.

Computed properties:
E_tot ... -5.253 eV per atom

a b c (Å): 4.6258 4.6258 8.9921
angles (deg): 90.00 90.00 120.00
Atoms (fractional coordinates):
Tb  0.0000  0.0000  0.0000
Sm  0.3333  0.6667  0.5000
In  0.6667  0.3333  0.2465
In  0.6667  0.3333  0.7535
Pd  0.0000  0.0000  0.3327
Pd  0.0000  0.0000  0.6673
Pd  0.3333  0.6667  0.1621
Pd  0.3333  0.6667  0.8379


(2)
Computed, not measured: an optimized crystal structure of SiTcNO at the PBE-GGA level of DFT.

Computed properties:
E_tot ... -8.176 eV per atom
E above lowest polymorph ... 0 meV per atom

a b c (Å): 5.1599 7.3304 5.1851
angles (deg): 90.00 90.00 90.00
Atoms (fractional coordinates):
Si  0.2199  0.2150  0.0000
Si  0.2801  0.2150  0.5000
Si  0.7199  0.7850  0.0000
Si  0.7801  0.7850  0.5000
Tc  0.1154  0.5445  0.9011
Tc  0.3846  0.5445  0.4011
Tc  0.6154  0.4555  0.9011
Tc  0.8846  0.4555  0.4011
N  0.0797  0.6802  0.5596
N  0.4203  0.6802  0.0596
N  0.5797  0.3198  0.5596
N  0.9203  0.3198  0.0596
O  0.2019  0.0839  0.7438
O  0.2981  0.0839  0.2438
O  0.7019  0.9161  0.7438
O  0.7981  0.9161  0.2438


(3)
Computed, not measured: an optimized crystal structure of GdY2Mg3CdGa2 at the PBE-GGA level of DFT.

Computed properties:
E_tot ... -3.697 eV per atom

a b c (Å): 4.4724 7.4008 7.4008
angles (deg): 120.18 90.00 90.00
Atoms (fractional coordinates):
Gd  0.0000  0.0000  0.0000
Y  0.0000  0.1379  0.5689
Y  0.0000  0.5689  0.1379
Mg  0.5000  0.3196  0.3196
Mg  0.5000  0.5684  0.8178
Mg  0.5000  0.8178  0.5684
Cd  0.0000  0.5675  0.5675
Ga  0.5000  0.2360  0.9018
Ga  0.5000  0.9018  0.2360